A plane-wave DFT calculation with GGA-PBE was carried out for a relaxed structure of Re2PtBr.

Computed properties:
For the final energy, the calculation gives -29.46 eV/f.u. Its symmetry is R-3m. As for the density of states at the Fermi level: 4.90 states/eV/f.u. The uncorrected formation energy is 0.789 eV per atom. The energy above the most stable polymorph in this dataset comes out at 407 meV per atom.

Cell: 8.9112 8.9112 8.9112 Å, 18.75 18.75 18.75°
Fractional coordinates of all 4 atoms:
Pt 0.7500 0.7500 0.7500
Re 0.4994 0.4994 0.4994
Re 0.0006 0.0006 0.0006
Br 0.2500 0.2500 0.2500

A plane-wave DFT calculation with GGA-PBE was carried out for a relaxed structure of ZrPdN.

Computed properties:
For the final energy, the calculation gives -25.11 eV/f.u. Its symmetry is I4/mmm. As for the density of states at the Fermi level: 0.93 states/eV/f.u. The uncorrected formation energy is -1.015 eV per atom.

Cell: 3.1555 3.1555 9.2680 Å, 99.80 99.80 90.00°
Fractional coordinates of all 6 atoms:
Pd 0.0713 0.0713 0.1425
Pd 0.9287 0.9287 0.8575
N 0.1961 0.1961 0.3922
N 0.8039 0.8039 0.6078
Zr 0.6779 0.6779 0.3558
Zr 0.3221 0.3221 0.6442

A plane-wave DFT calculation with GGA-PBE was carried out for a relaxed structure of ScReSi2.

Computed properties:
For the final energy, the calculation gives -29.30 eV/f.u. Its symmetry is R3m. As for the density of states at the Fermi level: 3.87 states/eV/f.u. The uncorrected formation energy is 0.080 eV per atom.

Cell: 8.4523 8.4523 8.4523 Å, 20.45 20.45 20.45°
Fractional coordinates of all 4 atoms:
Re 0.5086 0.5086 0.5086
Si 0.9927 0.9927 0.9927
Si 0.2484 0.2484 0.2484
Sc 0.7503 0.7503 0.7503

Question: Among the records above, which one has the lowest density of states at the Fermi level?
Answer: ZrPdN